Material: TlNiAg4
Method: DFT, GGA-PBE
State: optimized geometry

Geometry as POSCAR:
```
TlNiAg4
1.0
0.000 3.897 3.897
3.897 0.000 3.897
3.897 3.897 0.000
Tl Ni Ag
1 1 4
Direct
0.000 0.000 0.000 Tl
0.750 0.750 0.750 Ni
0.375 0.874 0.375 Ag
0.874 0.375 0.375 Ag
0.375 0.375 0.874 Ag
0.375 0.375 0.375 Ag
```

Summary:
VASP energy   -2.872 eV/atom
Crystal system   cubic

Material: Ce2TcF
Method: DFT, GGA-PBE
State: optimized geometry

Geometry as POSCAR:
```
Ce2TcF
1.0
3.922 0.000 0.000
1.961 3.397 0.000
1.961 1.132 6.337
Tc Ce F
1 2 1
Direct
0.500 0.500 0.500 Tc
0.749 0.749 0.753 Ce
0.251 0.251 0.247 Ce
0.000 0.000 0.000 F
```

Summary:
Offset from the most stable computed form   0.000 eV per atom
Crystal system   trigonal

Material: CsLaCl3
Method: DFT, GGA-PBE
State: optimized geometry

Geometry as POSCAR:
```
CsLaCl3
1.0
-0.309 3.063 4.756
-5.635 -0.588 0.013
0.500 -4.729 3.078
Cs Cl La
1 3 1
Direct
0.500 0.500 0.500 Cs
0.000 0.500 0.000 Cl
0.000 0.000 0.500 Cl
0.500 0.000 0.000 Cl
0.000 0.000 0.000 La
```

Summary:
VASP energy   -4.244 eV/atom
Crystal system   cubic